Entry 1:
Material: Eu2Mn3Sb3O14
Method: DFT, PBEsol
State: relaxed

Summary:
The energy relative to the elements, uncorrected comes out at -1.85 eV/atom. Its symmetry is C2/m. For the total magnetic moment, the calculation gives 2.98 μB per formula unit.

Unit cell a=7.1326 b=7.1326 c=7.1387 alpha=119.96 beta=119.96 gamma=60.21
With the nearest neighbours (Å) after each atom.
Atoms (fractional coordinates):
Eu (0.0000, 0.0000, 0.0000)  4 O 2.25-2.51
Eu (0.0000, 0.0000, 0.5000)  6 O 2.24-2.50
Mn (0.0000, 0.5000, 0.0000)  6 O 1.92-1.93
Mn (0.5000, 0.0000, 0.0000)  6 O 1.92-1.93
Mn (0.5000, 0.5000, 0.0000)  6 O 1.90-1.92
Sb (0.0000, 0.5000, 0.5000)  2 O 2.13
Sb (0.5000, 0.0000, 0.5000)  2 O 2.13
Sb (0.5000, 0.5000, 0.5000)  6 O 1.99
O (0.1353, 0.1353, 0.3853)  2 Sb 2.13, 2 Eu 2.24-2.25
O (0.1654, 0.5763, 0.3233)  1 Mn 1.92, 1 Sb 1.99
O (0.1780, 0.1780, 0.9325)  2 Mn 1.93
O (0.1801, 0.5707, 0.9302)  2 Mn 1.92
O (0.4234, 0.4234, 0.6807)  1 Mn 1.90, 1 Sb 1.99
O (0.4237, 0.8346, 0.6767)  1 Mn 1.92, 1 Sb 1.99
O (0.4293, 0.8199, 0.0698)  2 Mn 1.92
O (0.5707, 0.1801, 0.9302)  2 Mn 1.92
O (0.5763, 0.1654, 0.3233)  1 Mn 1.92, 1 Sb 1.99
O (0.5766, 0.5766, 0.3193)  1 Mn 1.90, 1 Sb 1.99
O (0.8199, 0.4293, 0.0698)  2 Mn 1.92
O (0.8220, 0.8220, 0.0675)  2 Mn 1.93
O (0.8346, 0.4237, 0.6767)  1 Mn 1.92, 1 Sb 1.99
O (0.8647, 0.8647, 0.6147)  2 Sb 2.13, 2 Eu 2.24-2.25

Entry 2:
Material: Cr5Cl
Method: DFT, PBEsol
State: relaxed

Summary:
The energy relative to the elements, uncorrected comes out at 0.42 eV/atom. Its symmetry is Cm. For the total magnetic moment, the calculation gives 0.00 μB per formula unit.

Unit cell a=5.2135 b=5.2135 c=5.1595 alpha=104.05 beta=104.05 gamma=30.73
With the nearest neighbours (Å) after each atom.
Atoms (fractional coordinates):
Cr (0.0000, 0.0000, 0.0000)  2 Cl 2.36, 5 Cr 2.41-2.51
Cr (0.0497, 0.0497, 0.5476)  7 Cr 2.30-2.51
Cr (0.3768, 0.3768, 0.2557)  1 Cl 2.30, 6 Cr 2.43-2.57
Cr (0.6612, 0.6612, 0.3130)  5 Cr 2.30-2.41
Cr (0.7169, 0.7169, 0.8863)  2 Cl 2.35, 5 Cr 2.40-2.57
Cl (0.3516, 0.3516, 0.6857)  5 Cr 2.30-2.36

Entry 3:
Material: SrHgSb
Method: DFT, PBEsol
State: relaxed

Summary:
The energy relative to the elements, uncorrected comes out at -0.55 eV/atom. As for the energy above the most stable polymorph in this dataset: 87.7 meV per atom. Its symmetry is F-43m. For the total magnetic moment, the calculation gives 0.00 μB per formula unit.

Unit cell a=5.0998 b=5.0998 c=5.0998 alpha=60.00 beta=60.00 gamma=60.00
With the nearest neighbours (Å) after each atom.
Atoms (fractional coordinates):
Sr (0.0000, 0.0000, 0.0000)  4 Hg 3.12
Hg (0.2500, 0.2500, 0.2500)  4 Sb 3.12, 4 Sr 3.12
Sb (0.5000, 0.5000, 0.5000)  4 Hg 3.12

Entry 4:
Material: KBeCl
Method: DFT, PBEsol
State: relaxed

Summary:
The energy relative to the elements, uncorrected comes out at 0.12 eV/atom. As for the energy above the most stable polymorph in this dataset: 176.1 meV per atom. Its symmetry is F-43m. For the total magnetic moment, the calculation gives 0.00 μB per formula unit.

Unit cell a=5.1869 b=5.1869 c=5.1869 alpha=60.00 beta=60.00 gamma=60.00
With the nearest neighbours (Å) after each atom.
Atoms (fractional coordinates):
K (0.0000, 0.0000, 0.0000)  4 Cl 3.18, 4 Be 3.18
Be (0.2500, 0.2500, 0.2500)  4 K 3.18
Cl (0.7500, 0.7500, 0.7500)  4 K 3.18

Entry 5:
Material: KRu2Br
Method: DFT, PBEsol
State: relaxed

Summary:
The energy relative to the elements, uncorrected comes out at 0.90 eV/atom. As for the energy above the most stable polymorph in this dataset: 509.6 meV per atom. Its symmetry is Immm. For the total magnetic moment, the calculation gives 0.36 μB per formula unit.

Unit cell a=5.9817 b=5.9817 c=5.9817 alpha=152.14 beta=133.61 gamma=54.98
With the nearest neighbours (Å) after each atom.
Atoms (fractional coordinates):
K (0.0000, 0.0000, 0.0000)  4 Br 2.76, 2 K 2.88
Ru (0.2822, 0.7822, 0.5000)  2 Br 2.72, 6 Ru 2.84-2.88
Ru (0.7178, 0.2178, 0.5000)  2 Br 2.72, 6 Ru 2.84-2.88
Br (0.5000, 0.5000, 0.0000)  4 Ru 2.72, 4 K 2.76, 2 Br 2.88

Entry 6:
Material: LaNF2
Method: DFT, PBEsol
State: relaxed

Summary:
The energy relative to the elements, uncorrected comes out at -1.98 eV/atom. Its symmetry is Fm-3m. For the total magnetic moment, the calculation gives 2.00 μB per formula unit.

Unit cell a=4.1421 b=4.1421 c=4.1421 alpha=60.00 beta=60.00 gamma=60.00
With the nearest neighbours (Å) after each atom.
Atoms (fractional coordinates):
La (0.0000, 0.0000, 0.0000)  8 F 2.54
N (0.5000, 0.5000, 0.5000)  8 F 2.54
F (0.2500, 0.2500, 0.2500)  4 La 2.54, 4 N 2.54
F (0.7500, 0.7500, 0.7500)  4 N 2.54, 4 La 2.54

Entry 7:
Material: Zn3AsPb
Method: DFT, PBEsol
State: relaxed

Summary:
Its symmetry is Pm-3m. The value obtained for the final energy is -2.357 eV/atom. For the total magnetic moment, the calculation gives 0.00 μB per formula unit.

Unit cell a=4.8414 b=4.8414 c=4.8414 alpha=90.00 beta=90.00 gamma=90.00
With the nearest neighbours (Å) after each atom.
Atoms (fractional coordinates):
Zn (0.0000, 0.0000, 0.5000)  2 As 2.42
Zn (0.0000, 0.5000, 0.0000)  2 As 2.42
Zn (0.5000, 0.0000, 0.0000)  2 As 2.42
As (0.0000, 0.0000, 0.0000)  6 Zn 2.42
Pb (0.5000, 0.5000, 0.5000)  12 Zn 3.42

Entry 8:
Material: ScTl3F
Method: DFT, PBEsol
State: relaxed

Summary:
The energy relative to the elements, uncorrected comes out at 0.19 eV/atom. Its symmetry is Pm-3m. For the total magnetic moment, the calculation gives 2.27 μB per formula unit.

Unit cell a=5.6350 b=5.6350 c=5.6350 alpha=90.00 beta=90.00 gamma=90.00
With the nearest neighbours (Å) after each atom.
Atoms (fractional coordinates):
Sc (0.0000, 0.0000, 0.0000)  6 Tl 2.82
Tl (0.0000, 0.0000, 0.5000)  2 Sc 2.82
Tl (0.0000, 0.5000, 0.0000)  2 Sc 2.82
Tl (0.5000, 0.0000, 0.0000)  2 Sc 2.82
F (0.5000, 0.5000, 0.5000)  12 Tl 3.98

Entry 9:
Material: YC
Method: DFT, PBEsol
State: relaxed

Summary:
As for the energy above the most stable polymorph in this dataset: 277.2 meV per atom. Its symmetry is F-43m. For the total magnetic moment, the calculation gives 0.00 μB per formula unit.

Unit cell a=3.8094 b=3.8094 c=3.8094 alpha=60.00 beta=60.00 gamma=60.00
With the nearest neighbours (Å) after each atom.
Atoms (fractional coordinates):
Y (0.0000, 0.0000, 0.0000)  4 C 2.33
C (0.7500, 0.7500, 0.7500)  4 Y 2.33

Entry 10:
Material: FePbS2
Method: DFT, PBEsol
State: relaxed

Summary:
The energy relative to the elements, uncorrected comes out at 0.13 eV/atom. Its symmetry is R-3m. For the total magnetic moment, the calculation gives 3.93 μB per formula unit.

Unit cell a=7.7570 b=7.7570 c=7.7570 alpha=31.21 beta=31.21 gamma=31.21
With the nearest neighbours (Å) after each atom.
Atoms (fractional coordinates):
Fe (0.0000, 0.0000, 0.0000)  2 S 2.12
Pb (0.5000, 0.5000, 0.5000)  6 S 2.87
S (0.0960, 0.0960, 0.0960)  1 Fe 2.12
S (0.9040, 0.9040, 0.9040)  1 Fe 2.12

Entry 11:
Material: Si2IrAu
Method: DFT, PBEsol
State: relaxed

Summary:
The energy relative to the elements, uncorrected comes out at -0.25 eV/atom. As for the energy above the most stable polymorph in this dataset: 0.0 meV per atom. Its symmetry is P4mm. For the total magnetic moment, the calculation gives 0.00 μB per formula unit.

Unit cell a=3.4329 b=3.4329 c=4.9555 alpha=90.00 beta=90.00 gamma=90.00
With the nearest neighbours (Å) after each atom.
Atoms (fractional coordinates):
Si (0.0000, 0.0000, 0.0000)  2 Au 2.47-2.49, 4 Ir 2.55
Si (0.5000, 0.5000, 0.3259)  2 Ir 2.38-2.57, 4 Au 2.57
Ir (0.5000, 0.5000, 0.8447)  6 Si 2.38-2.57
Au (0.0000, 0.0000, 0.4985)  6 Si 2.47-2.57

Entry 12:
Material: AgCSe2
Method: DFT, PBEsol
State: relaxed

Summary:
The energy relative to the elements, uncorrected comes out at 0.84 eV/atom. Its symmetry is I-42d. For the total magnetic moment, the calculation gives 0.00 μB per formula unit.

Unit cell a=6.4786 b=6.4786 c=6.4786 alpha=130.07 beta=130.07 gamma=73.30
With the nearest neighbours (Å) after each atom.
Atoms (fractional coordinates):
Ag (0.0000, 0.0000, 0.0000)  4 Se 2.60
Ag (0.7500, 0.2500, 0.5000)  4 Se 2.60
C (0.2500, 0.7500, 0.5000)  4 Se 2.11
C (0.5000, 0.5000, 0.0000)  4 Se 2.11
Se (0.2021, 0.6250, 0.0771)  2 C 2.11
Se (0.3750, 0.4521, 0.5771)  2 C 2.11
Se (0.5479, 0.1250, 0.9229)  2 C 2.11
Se (0.8750, 0.7979, 0.4229)  2 C 2.11

Copy entry 12 word for word.
Material: AgCSe2
Method: DFT, PBEsol
State: relaxed

Summary:
The energy relative to the elements, uncorrected comes out at 0.84 eV/atom. Its symmetry is I-42d. For the total magnetic moment, the calculation gives 0.00 μB per formula unit.

Unit cell a=6.4786 b=6.4786 c=6.4786 alpha=130.07 beta=130.07 gamma=73.30
With the nearest neighbours (Å) after each atom.
Atoms (fractional coordinates):
Ag (0.0000, 0.0000, 0.0000)  4 Se 2.60
Ag (0.7500, 0.2500, 0.5000)  4 Se 2.60
C (0.2500, 0.7500, 0.5000)  4 Se 2.11
C (0.5000, 0.5000, 0.0000)  4 Se 2.11
Se (0.2021, 0.6250, 0.0771)  2 C 2.11
Se (0.3750, 0.4521, 0.5771)  2 C 2.11
Se (0.5479, 0.1250, 0.9229)  2 C 2.11
Se (0.8750, 0.7979, 0.4229)  2 C 2.11

Q: Which formula does entry 7 have?
A: Zn3AsPb

Q: Number 7 is which compound?
A: Zn3AsPb

Q: What is the total magnetic moment in the third record?
A: 0.00 μB per formula unit